! La2AgBi4, optimized geometry, DFT GGA-PBE; values from VASP
&SYSTEM
  ibrav = 0, nat = 7, ntyp = 3
/
ATOMIC_SPECIES
La 138.91 La.upf
Ag 107.87 Ag.upf
Bi 208.98 Bi.upf
CELL_PARAMETERS angstrom
-2.764 2.764 8.100
2.764 -2.764 8.100
2.764 2.764 -8.100
ATOMIC_POSITIONS angstrom
La 0.000 0.000 2.054
La 0.000 0.000 14.146
Ag 0.000 0.000 8.100
Bi 2.764 0.000 0.000
Bi 0.000 0.000 5.297
Bi 0.000 2.764 0.000
Bi 0.000 0.000 10.903
! ΔE to the lowest computed polymorph ... 374 meV per atom
! V ... 35.37 Å³/atom
! E ... -4.266 eV per atom
! Calculated formation energy ... -0.234 eV/atom